Below is an optimized crystal structure of Ce2ScI6, with properties calculated at the GGA-PBE level.

Summary:
crystal system = monoclinic
volume = 42.224 Å³ per atom
E = -4.2158 eV per atom
formation energy without anion corrections = -10.4 eV/f.u.

abc: 8.388 8.388 13.065
angles: 119.71 119.71 28.76
Positions (direct):
1 Ce 0.174 0.174 0.288
2 Ce 0.826 0.826 0.712
3 Sc 0.500 0.500 0.000
4 I 0.158 0.158 0.535
5 I 0.292 0.292 0.881
6 I 0.497 0.497 0.776
7 I 0.503 0.503 0.224
8 I 0.708 0.708 0.119
9 I 0.842 0.842 0.465



Below is an optimized crystal structure of CeScI4, with properties calculated at the GGA-PBE level.

Summary:
crystal system = monoclinic
volume = 40.219 Å³ per atom
E = -4.2348 eV per atom
formation energy without anion corrections = -6.9 eV/f.u.

abc: 7.360 4.158 7.887
angles: 90.00 90.94 90.00
Positions (direct):
1 Ce 0.000 0.000 0.000
2 Sc 0.500 0.500 0.000
3 I 0.186 0.500 0.749
4 I 0.354 0.000 0.234
5 I 0.646 0.000 0.766
6 I 0.814 0.500 0.251



Below is an optimized crystal structure of Ce2Se2I, with properties calculated at the GGA-PBE level.

Summary:
crystal system = trigonal
volume = 33.258 Å³ per atom
E = -5.5691 eV per atom
formation energy without anion corrections = -7.5 eV/f.u.

abc: 4.975 4.975 7.758
angles: 90.00 90.00 120.00
Positions (direct):
1 Ce 0.333 0.667 0.275
2 Ce 0.667 0.333 0.725
3 Se 0.333 0.667 0.656
4 Se 0.667 0.333 0.344
5 I 0.000 0.000 0.000



Below is an optimized crystal structure of Ce7SeI12, with properties calculated at the GGA-PBE level.

Summary:
crystal system = trigonal
volume = 40.071 Å³ per atom
E = -4.4734 eV per atom
formation energy without anion corrections = -25.8 eV/f.u.

abc: 9.963 9.963 9.963
angles: 107.94 107.94 107.94
Positions (direct):
1 Ce 0.000 0.000 0.000
2 Ce 0.184 0.392 0.464
3 Ce 0.392 0.464 0.184
4 Ce 0.464 0.184 0.392
5 Ce 0.536 0.816 0.608
6 Ce 0.608 0.536 0.816
7 Ce 0.816 0.608 0.536
8 Se 0.500 0.500 0.500
9 I 0.028 0.349 0.111
10 I 0.111 0.028 0.349
11 I 0.186 0.730 0.578
12 I 0.270 0.422 0.814
13 I 0.349 0.111 0.028
14 I 0.422 0.814 0.270
15 I 0.578 0.186 0.730
16 I 0.651 0.889 0.972
17 I 0.730 0.578 0.186
18 I 0.814 0.270 0.422
19 I 0.889 0.972 0.651
20 I 0.972 0.651 0.889



Below is an optimized crystal structure of CeSe2I2, with properties calculated at the GGA-PBE level.

Summary:
crystal system = monoclinic
volume = 41.388 Å³ per atom
E = -4.3078 eV per atom
formation energy without anion corrections = -5.5 eV/f.u.

abc: 7.821 7.821 7.886
angles: 93.58 93.58 120.13
Positions (direct):
1 Ce 0.145 0.855 0.000
2 Ce 0.855 0.145 0.000
3 Se 0.052 0.052 0.282
4 Se 0.272 0.272 0.106
5 Se 0.728 0.728 0.894
6 Se 0.948 0.948 0.718
7 I 0.094 0.488 0.765
8 I 0.488 0.094 0.765
9 I 0.512 0.906 0.235
10 I 0.906 0.512 0.235



Below is an optimized crystal structure of CeSe2I4, with properties calculated at the GGA-PBE level.

Summary:
crystal system = monoclinic
volume = 47.058 Å³ per atom
E = -3.4214 eV per atom
formation energy without anion corrections = -4.8 eV/f.u.

abc: 9.500 9.500 8.504
angles: 90.97 90.97 25.42
Positions (direct):
1 Ce 0.000 0.000 0.000
2 Se 0.252 0.252 0.426
3 Se 0.748 0.748 0.574
4 I 0.151 0.151 0.896
5 I 0.461 0.461 0.743
6 I 0.539 0.539 0.257
7 I 0.849 0.849 0.104



> Number 4 is which compound?

Ce7SeI12